# Ce3ThO8 PBE relaxed
# E_tot ... -8.974 eV/atom
data_Ce3ThO8
_cell_length_a 5.505
_cell_length_b 5.505
_cell_length_c 5.505
_cell_angle_alpha 90.00
_cell_angle_beta 90.00
_cell_angle_gamma 90.00
_symmetry_space_group_name_H-M 'P m -3 m'
_symmetry_Int_Tables_number 221
_symmetry_space_group_name_Hall '-P 4 2 3'
loop_
_atom_site_label
_atom_site_fract_x
_atom_site_fract_y
_atom_site_fract_z
Ce1 0.000 0.000 0.500
Th1 0.500 0.500 0.500
O1 0.248 0.248 0.248

# CeTh9O20 PBE relaxed
# E_tot ... -9.583 eV/atom
data_CeTh9O20
_cell_length_a 6.864
_cell_length_b 7.925
_cell_length_c 8.861
_cell_angle_alpha 102.92
_cell_angle_beta 97.42
_cell_angle_gamma 106.77
_symmetry_space_group_name_H-M 'P -1'
_symmetry_Int_Tables_number 2
_symmetry_space_group_name_Hall '-P 1'
loop_
_atom_site_label
_atom_site_fract_x
_atom_site_fract_y
_atom_site_fract_z
Ce1 0.000 0.000 0.000
Th1 0.000 0.500 0.000
Th2 0.199 0.399 0.399
Th3 0.199 0.900 0.399
Th4 0.399 0.299 0.800
Th5 0.400 0.801 0.801
O1 0.050 0.223 0.851
O2 0.050 0.728 0.852
O3 0.150 0.175 0.550
O4 0.150 0.675 0.550
O5 0.247 0.123 0.247
O6 0.249 0.625 0.250
O7 0.347 0.074 0.951
O8 0.350 0.575 0.950
O9 0.450 0.525 0.650
O10 0.451 0.025 0.650

# CeTiO3 PBE relaxed
# E_tot ... -8.798 eV/atom
data_CeTiO3
_cell_length_a 5.720
_cell_length_b 7.054
_cell_length_c 7.064
_cell_angle_alpha 90.00
_cell_angle_beta 92.15
_cell_angle_gamma 90.00
_symmetry_space_group_name_H-M 'P 1 21/c 1'
_symmetry_Int_Tables_number 14
_symmetry_space_group_name_Hall '-P 2ybc'
loop_
_atom_site_label
_atom_site_fract_x
_atom_site_fract_y
_atom_site_fract_z
Ce1 0.140 0.162 0.326
Ti1 0.390 0.675 0.444
O1 0.091 0.664 0.890
O2 0.266 0.067 0.010
O3 0.442 0.676 0.174

# CeTi2O5 PBE relaxed
# E_tot ... -8.915 eV/atom
data_CeTi2O5
_cell_length_a 3.667
_cell_length_b 11.898
_cell_length_c 5.026
_cell_angle_alpha 90.00
_cell_angle_beta 90.00
_cell_angle_gamma 90.00
_symmetry_space_group_name_H-M 'P m m n'
_symmetry_Int_Tables_number 59
loop_
_symmetry_equiv_pos_as_xyz
'x,y,z'
'-x,-y,-z'
'-x+1/2,-y+1/2,z'
'x+1/2,y+1/2,-z'
'x+1/2,-y,-z'
'-x+1/2,y,z'
'-x,y+1/2,-z'
'x,-y+1/2,z'
loop_
_atom_site_label
_atom_site_fract_x
_atom_site_fract_y
_atom_site_fract_z
Ce1 0.250 0.250 0.115
Ti1 0.250 0.594 0.423
O1 0.250 0.080 0.431
O2 0.250 0.632 0.081
O3 0.250 0.750 0.577

# CeTi2O4 PBE relaxed
# E_tot ... -8.829 eV/atom
data_CeTi2O4
_cell_length_a 3.236
_cell_length_b 9.855
_cell_length_c 10.096
_cell_angle_alpha 90.00
_cell_angle_beta 90.00
_cell_angle_gamma 90.00
_symmetry_space_group_name_H-M 'C m c m'
_symmetry_Int_Tables_number 63
_symmetry_space_group_name_Hall '-C 2c 2'
loop_
_atom_site_label
_atom_site_fract_x
_atom_site_fract_y
_atom_site_fract_z
Ce1 0.000 0.117 0.250
Ti1 0.000 0.381 0.058
O1 0.000 0.000 0.000
O2 0.000 0.262 0.608
O3 0.000 0.435 0.250

# Ce6TiO12 PBE relaxed
# E_tot ... -8.813 eV/atom
data_Ce6TiO12
_cell_length_a 10.0748
_cell_length_b 10.0748
_cell_length_c 9.5902
_cell_angle_alpha 90.00
_cell_angle_beta 90.00
_cell_angle_gamma 120.00
_symmetry_space_group_name_H-M 'R -3'
_symmetry_Int_Tables_number 148
_symmetry_space_group_name_Hall '-R 3'
loop_
_atom_site_label
_atom_site_fract_x
_atom_site_fract_y
_atom_site_fract_z
Ce1 0.0523 0.2600 0.1567
Ti1 0.0000 0.0000 0.5000
O1 0.0359 0.2249 0.9017
O2 0.0397 0.1922 0.3932

# Ce4Ti6O19 PBE relaxed
# E_tot ... -8.830 eV/atom
data_Ce4Ti6O19
_cell_length_a 8.784
_cell_length_b 8.784
_cell_length_c 8.784
_cell_angle_alpha 90.00
_cell_angle_beta 90.00
_cell_angle_gamma 90.00
_symmetry_space_group_name_H-M 'I 2 3'
_symmetry_Int_Tables_number 197
_symmetry_space_group_name_Hall 'I 2 2 3'
loop_
_atom_site_label
_atom_site_fract_x
_atom_site_fract_y
_atom_site_fract_z
Ce1 0.164 0.164 0.836
Ti1 0.000 0.333 0.500
O1 0.000 0.000 0.000
O2 0.000 0.000 0.353
O3 0.044 0.311 0.284

# CeTiO3 PBE relaxed
# E_tot ... -8.735 eV/atom
data_CeTiO3
_cell_length_a 5.460
_cell_length_b 11.705
_cell_length_c 3.852
_cell_angle_alpha 90.00
_cell_angle_beta 90.00
_cell_angle_gamma 90.00
_symmetry_space_group_name_H-M 'C m m m'
_symmetry_Int_Tables_number 65
_symmetry_space_group_name_Hall '-C 2 2'
loop_
_atom_site_label
_atom_site_fract_x
_atom_site_fract_y
_atom_site_fract_z
Ce1 0.000 0.147 0.000
Ti1 0.000 0.381 0.500
O1 0.000 0.357 0.000
O2 0.236 0.000 0.500
O3 0.250 0.250 0.500

# CeTi2O6 PBE relaxed
# E_tot ... -8.848 eV/atom
data_CeTi2O6
_cell_length_a 10.663
_cell_length_b 8.633
_cell_length_c 5.195
_cell_angle_alpha 90.00
_cell_angle_beta 114.58
_cell_angle_gamma 90.00
_symmetry_space_group_name_H-M 'C 1 2/c 1'
_symmetry_Int_Tables_number 15
_symmetry_space_group_name_Hall '-C 2yc'
loop_
_atom_site_label
_atom_site_fract_x
_atom_site_fract_y
_atom_site_fract_z
Ce1 0.000 0.187 0.250
Ti1 0.228 0.419 0.940
O1 0.136 0.412 0.537
O2 0.137 0.048 0.640
O3 0.139 0.255 0.042

# CeTi2O6 PBE relaxed
# E_tot ... -8.892 eV/atom
data_CeTi2O6
_cell_length_a 9.957
_cell_length_b 3.786
_cell_length_c 6.974
_cell_angle_alpha 90.00
_cell_angle_beta 119.29
_cell_angle_gamma 90.00
_symmetry_space_group_name_H-M 'C 1 2/m 1'
_symmetry_Int_Tables_number 12
_symmetry_space_group_name_Hall '-C 2y'
loop_
_atom_site_label
_atom_site_fract_x
_atom_site_fract_y
_atom_site_fract_z
Ce1 0.000 0.000 0.000
Ti1 0.177 0.000 0.612
O1 0.025 0.000 0.693
O2 0.150 0.500 0.103
O3 0.221 0.500 0.597

# Ce5Ti2O12 PBE relaxed
# E_tot ... -8.886 eV/atom
data_Ce5Ti2O12
_cell_length_a 12.658
_cell_length_b 5.974
_cell_length_c 7.498
_cell_angle_alpha 90.00
_cell_angle_beta 107.07
_cell_angle_gamma 90.00
_symmetry_space_group_name_H-M 'C 1 2/m 1'
_symmetry_Int_Tables_number 12
_symmetry_space_group_name_Hall '-C 2y'
loop_
_atom_site_label
_atom_site_fract_x
_atom_site_fract_y
_atom_site_fract_z
Ce1 0.000 0.000 0.000
Ce2 0.190 0.500 0.852
Ce3 0.192 0.500 0.340
Ti1 0.000 0.237 0.500
O1 0.001 0.000 0.319
O2 0.001 0.500 0.319
O3 0.155 0.248 0.075
O4 0.164 0.264 0.584

# CeTi4O8 PBE relaxed
# E_tot ... -8.927 eV/atom
data_CeTi4O8
_cell_length_a 5.9265
_cell_length_b 5.9265
_cell_length_c 16.9510
_cell_angle_alpha 90.00
_cell_angle_beta 90.00
_cell_angle_gamma 120.00
_symmetry_space_group_name_H-M 'R -3 m'
_symmetry_Int_Tables_number 166
_symmetry_space_group_name_Hall '-R 3 2"'
loop_
_atom_site_label
_atom_site_fract_x
_atom_site_fract_y
_atom_site_fract_z
Ce1 0.0000 0.0000 0.0000
Ti1 0.0000 0.0000 0.5000
Ti2 0.0000 0.5000 0.5000
O1 0.0000 0.0000 0.2254
O2 0.0047 0.5024 0.7656

# CeTi4O6 PBE relaxed
# E_tot ... -8.828 eV/atom
data_CeTi4O6
_cell_length_a 3.112
_cell_length_b 10.002
_cell_length_c 15.198
_cell_angle_alpha 90.00
_cell_angle_beta 90.00
_cell_angle_gamma 90.00
_symmetry_space_group_name_H-M 'C m c m'
_symmetry_Int_Tables_number 63
_symmetry_space_group_name_Hall '-C 2c 2'
loop_
_atom_site_label
_atom_site_fract_x
_atom_site_fract_y
_atom_site_fract_z
Ce1 0.000 0.157 0.250
Ti1 0.000 0.102 0.622
Ti2 0.000 0.352 0.536
O1 0.000 0.000 0.000
O2 0.000 0.160 0.750
O3 0.000 0.258 0.096
O4 0.000 0.465 0.654

# Ce2TiO6 PBE relaxed
# E_tot ... -8.674 eV/atom
data_Ce2TiO6
_cell_length_a 4.992
_cell_length_b 4.992
_cell_length_c 10.187
_cell_angle_alpha 90.00
_cell_angle_beta 90.00
_cell_angle_gamma 90.00
_symmetry_space_group_name_H-M 'P 42/m n m'
_symmetry_Int_Tables_number 136
_symmetry_space_group_name_Hall '-P 4n 2n'
loop_
_atom_site_label
_atom_site_fract_x
_atom_site_fract_y
_atom_site_fract_z
Ce1 0.000 0.000 0.168
Ti1 0.000 0.000 0.500
O1 0.182 0.182 0.351
O2 0.212 0.212 0.000

# CeTiO3 PBE relaxed
# E_tot ... -8.812 eV/atom
data_CeTiO3
_cell_length_a 3.939
_cell_length_b 3.939
_cell_length_c 3.939
_cell_angle_alpha 90.00
_cell_angle_beta 90.00
_cell_angle_gamma 90.00
_symmetry_space_group_name_H-M 'P m -3 m'
_symmetry_Int_Tables_number 221
_symmetry_space_group_name_Hall '-P 4 2 3'
loop_
_atom_site_label
_atom_site_fract_x
_atom_site_fract_y
_atom_site_fract_z
Ce1 0.000 0.000 0.000
Ti1 0.500 0.500 0.500
O1 0.000 0.500 0.500

# CeTi6O12 PBE relaxed
# E_tot ... -8.497 eV/atom
data_CeTi6O12
_cell_length_a 9.9967
_cell_length_b 9.9967
_cell_length_c 7.0421
_cell_angle_alpha 90.00
_cell_angle_beta 90.00
_cell_angle_gamma 120.00
_symmetry_space_group_name_H-M 'R -3 m'
_symmetry_Int_Tables_number 166
_symmetry_space_group_name_Hall '-R 3 2"'
loop_
_atom_site_label
_atom_site_fract_x
_atom_site_fract_y
_atom_site_fract_z
Ce1 0.0000 0.0000 0.0000
Ti1 0.0799 0.5400 0.2992
O1 0.0000 0.3781 0.5000
O2 0.0876 0.1753 0.3508

# Ce3Ti2O8 PBE relaxed
# E_tot ... -8.716 eV/atom
data_Ce3Ti2O8
_cell_length_a 5.7878
_cell_length_b 5.7878
_cell_length_c 19.4223
_cell_angle_alpha 90.00
_cell_angle_beta 90.00
_cell_angle_gamma 120.00
_symmetry_space_group_name_H-M 'R -3 m'
_symmetry_Int_Tables_number 166
_symmetry_space_group_name_Hall '-R 3 2"'
loop_
_atom_site_label
_atom_site_fract_x
_atom_site_fract_y
_atom_site_fract_z
Ce1 0.0000 0.0000 0.0000
Ce2 0.0000 0.0000 0.1946
Ti1 0.0000 0.0000 0.4042
O1 0.0000 0.0000 0.3115
O2 0.0151 0.5075 0.7678